[1]
Below is a relaxed LaZnAg2F8 crystal, with properties calculated at the PBE level.

Summary:
- Total magnetic moment: 1.03 μB/cell
- Formation energy (no corrections): -2343 meV per atom

abc: 4.3480 5.5338 7.5351
angles: 94.03 90.05 90.04
With the nearest neighbours (Å) after each atom.
Fractional coordinates of all 12 atoms:
La1 0.0000 0.0000 0.0000  6 F 2.38-2.40
Zn1 0.0000 0.0000 0.5000  4 F 1.97-2.15
Ag1 0.4837 0.5074 0.2719  4 F 2.21-2.31
Ag2 0.5163 0.4926 0.7281  4 F 2.21-2.31
F1 0.1100 0.2143 0.2813  1 Zn 2.15, 1 Ag 2.30, 1 La 2.40
F2 0.1142 0.2282 0.7489  1 Zn 2.24, 1 Ag 2.29, 1 La 2.40
F3 0.3547 0.7768 0.4902  1 Zn 1.97
F4 0.4506 0.7575 0.9754  1 Ag 2.31, 1 La 2.38
F5 0.5494 0.2425 0.0246  1 Ag 2.31, 1 La 2.38
F6 0.6453 0.2232 0.5098  1 Zn 1.97
F7 0.8858 0.7718 0.2511  1 Zn 2.24, 1 Ag 2.29, 1 La 2.40
F8 0.8900 0.7857 0.7187  1 Zn 2.15, 1 Ag 2.30, 1 La 2.40

[2]
Below is a relaxed LaZrAg2F crystal, with properties calculated at the PBE level.

Summary:
- Total magnetic moment: 1.34 μB/cell
- Formation energy (no corrections): -492 meV per atom

abc: 5.3076 5.3076 4.1817
angles: 90.00 90.00 90.00
With the nearest neighbours (Å) after each atom.
Fractional coordinates of all 5 atoms:
La1 0.0000 0.0000 0.0000  8 Ag 3.38, 4 Zr 3.75
Zr1 0.5000 0.5000 0.0000  2 F 2.09
Ag1 0.0000 0.5000 0.5000  2 F 2.65
Ag2 0.5000 0.0000 0.5000  2 F 2.65
F1 0.5000 0.5000 0.5000  2 Zr 2.09

[3]
Below is a relaxed LiAgF6 crystal, with properties calculated at the PBE level.

Summary:
- E above lowest polymorph: 0.010 eV/atom
- Total magnetic moment: 0.00 μB/cell
- Formation energy (no corrections): -1248 meV per atom

abc: 4.9860 4.9860 9.4775
angles: 90.00 90.00 120.00
With the nearest neighbours (Å) after each atom.
Fractional coordinates of all 16 atoms:
Li1 0.3333 0.6667 0.2500  6 F 2.09
Li2 0.6667 0.3333 0.7500  6 F 2.09
Ag1 0.0000 0.0000 0.0000  6 F 1.94
Ag2 0.0000 0.0000 0.5000  6 F 1.94
F1 0.0063 0.3198 0.1194  1 Ag 1.94, 1 Li 2.09
F2 0.0063 0.6865 0.3806  1 Ag 1.94, 1 Li 2.09
F3 0.3135 0.3198 0.3806  1 Ag 1.94, 1 Li 2.09
F4 0.3135 0.9937 0.1194  1 Ag 1.94, 1 Li 2.09
F5 0.3198 0.0063 0.6194  1 Ag 1.94, 1 Li 2.09
F6 0.3198 0.3135 0.8806  1 Ag 1.94, 1 Li 2.09
F7 0.6802 0.6865 0.1194  1 Ag 1.94, 1 Li 2.09
F8 0.6802 0.9937 0.3806  1 Ag 1.94, 1 Li 2.09
F9 0.6865 0.0063 0.8806  1 Ag 1.94, 1 Li 2.09
F10 0.6865 0.6802 0.6194  1 Ag 1.94, 1 Li 2.09
F11 0.9937 0.3135 0.6194  1 Ag 1.94, 1 Li 2.09
F12 0.9937 0.6802 0.8806  1 Ag 1.94, 1 Li 2.09

[4]
Below is a relaxed LiAgF3 crystal, with properties calculated at the PBE level.

Summary:
- E above lowest polymorph: 0.030 eV/atom
- Total magnetic moment: 2.05 μB/cell
- Formation energy (no corrections): -1799 meV per atom

abc: 5.4308 5.4430 5.7202
angles: 63.42 85.51 61.78
With the nearest neighbours (Å) after each atom.
Fractional coordinates of all 10 atoms:
Li1 0.1244 0.2109 0.4404  5 F 1.98-2.16
Li2 0.8756 0.7891 0.5596  5 F 1.98-2.16
Ag1 0.3372 0.8045 0.0408  4 F 2.10-2.19
Ag2 0.6628 0.1955 0.9592  4 F 2.10-2.19
F1 0.0946 0.6313 0.2959  2 Li 1.98-2.08, 1 Ag 2.10
F2 0.2007 0.7497 0.7357  2 Li 1.98-2.16, 1 Ag 2.14
F3 0.4394 0.0015 0.2544  1 Li 2.08, 2 Ag 2.18-2.19
F4 0.5606 0.9985 0.7456  1 Li 2.08, 2 Ag 2.18-2.19
F5 0.7993 0.2503 0.2643  2 Li 1.98-2.16, 1 Ag 2.14
F6 0.9054 0.3687 0.7041  2 Li 1.98-2.08, 1 Ag 2.10

[5]
Below is a relaxed Li2Ag2F7 crystal, with properties calculated at the PBE level.

Summary:
- Total magnetic moment: 0.98 μB/cell
- Formation energy (no corrections): -1709 meV per atom

abc: 5.8679 5.8679 5.6808
angles: 111.26 111.26 75.41
With the nearest neighbours (Å) after each atom.
Fractional coordinates of all 11 atoms:
Li1 0.1991 0.8009 0.0000  4 F 1.94-2.13
Li2 0.8009 0.1991 0.0000  4 F 1.94-2.13
Ag1 0.2194 0.2194 0.6430  5 F 2.06-2.25
Ag2 0.7525 0.7525 0.4036  4 F 1.98-2.01
F1 0.0238 0.0238 0.2670  2 Li 2.02, 1 Ag 2.07
F2 0.0378 0.0378 0.8028  2 Li 1.94
F3 0.4323 0.4323 0.9903  1 Ag 2.06, 2 Li 2.24
F4 0.5169 0.9253 0.1506  1 Li 1.95, 1 Ag 1.98
F5 0.5684 0.9661 0.6638  2 Ag 2.01-2.20, 1 Li 2.13
F6 0.9253 0.5169 0.1506  1 Li 1.95, 1 Ag 1.98
F7 0.9661 0.5684 0.6638  2 Ag 2.01-2.20, 1 Li 2.13

[6]
Below is a relaxed Li3Ag5F8 crystal, with properties calculated at the PBE level.

Summary:
- Total magnetic moment: 0.00 μB/cell
- Formation energy (no corrections): -1655 meV per atom

abc: 6.8649 6.8649 6.8649
angles: 56.17 56.17 56.17
With the nearest neighbours (Å) after each atom.
Fractional coordinates of all 16 atoms:
Li1 0.0000 0.5000 0.5000  6 F 2.08-2.28
Li2 0.5000 0.0000 0.5000  6 F 2.08-2.28
Li3 0.5000 0.5000 0.0000  6 F 2.08-2.28
Ag1 0.0000 0.0000 0.0000  6 F 2.37
Ag2 0.0000 0.0000 0.5000  6 F 2.44-2.67
Ag3 0.0000 0.5000 0.0000  6 F 2.44-2.67
Ag4 0.5000 0.0000 0.0000  6 F 2.44-2.67
Ag5 0.5000 0.5000 0.5000  6 F 2.41
F1 0.2512 0.2512 0.6898  2 Li 2.08
F2 0.2512 0.6898 0.2512  2 Li 2.08
F3 0.2580 0.2580 0.2580  3 Li 2.28, 3 Ag 2.44
F4 0.3102 0.7488 0.7488  2 Li 2.08
F5 0.6898 0.2512 0.2512  2 Li 2.08
F6 0.7420 0.7420 0.7420  3 Li 2.28, 3 Ag 2.44
F7 0.7488 0.3102 0.7488  2 Li 2.08
F8 0.7488 0.7488 0.3102  2 Li 2.08

[7]
Below is a relaxed LiAgF3 crystal, with properties calculated at the PBE level.

Summary:
- E above lowest polymorph: 0.007 eV/atom
- Total magnetic moment: 1.64 μB/cell
- Formation energy (no corrections): -1822 meV per atom

abc: 6.5441 6.5441 3.1817
angles: 90.00 90.00 106.02
With the nearest neighbours (Å) after each atom.
Fractional coordinates of all 10 atoms:
Li1 0.0000 0.5000 0.0000  6 F 2.04-2.26
Li2 0.5000 0.0000 0.0000  6 F 2.04-2.26
Ag1 0.0000 0.0000 0.5000  4 F 2.19
Ag2 0.5000 0.5000 0.5000  4 F 2.06
F1 0.1444 0.8556 0.0000  2 Ag 2.19, 2 Li 2.26
F2 0.1745 0.4490 0.5000  2 Li 2.04, 1 Ag 2.06
F3 0.4490 0.1745 0.5000  2 Li 2.04, 1 Ag 2.06
F4 0.5510 0.8255 0.5000  2 Li 2.04, 1 Ag 2.06
F5 0.8255 0.5510 0.5000  2 Li 2.04, 1 Ag 2.06
F6 0.8556 0.1444 0.0000  2 Ag 2.19, 2 Li 2.26

[8]
Below is a relaxed Li2Ag5F6 crystal, with properties calculated at the PBE level.

Summary:
- Total magnetic moment: 0.00 μB/cell
- Formation energy (no corrections): -1426 meV per atom

abc: 10.5107 12.1665 3.0886
angles: 90.00 90.00 90.00
With the nearest neighbours (Å) after each atom.
Fractional coordinates of all 26 atoms:
Li1 0.0627 0.2065 0.0000  4 F 1.89-1.91
Li2 0.4373 0.7065 0.0000  4 F 1.89-1.91
Li3 0.5627 0.2935 0.0000  4 F 1.89-1.91
Li4 0.9373 0.7935 0.0000  4 F 1.89-1.91
Ag1 0.0000 0.5000 0.5000  2 F 2.76, 4 Ag 2.77-2.82
Ag2 0.1709 0.6729 0.5000  4 F 2.43-2.47
Ag3 0.2420 0.9373 0.5000  5 F 2.41-2.50
Ag4 0.2580 0.4373 0.5000  5 F 2.41-2.50
Ag5 0.3291 0.1729 0.5000  4 F 2.43-2.47
Ag6 0.5000 0.0000 0.5000  2 F 2.76, 4 Ag 2.77-2.82
Ag7 0.6709 0.8271 0.5000  4 F 2.43-2.47
Ag8 0.7420 0.5627 0.5000  5 F 2.41-2.50
Ag9 0.7580 0.0627 0.5000  5 F 2.41-2.50
Ag10 0.8291 0.3271 0.5000  4 F 2.43-2.47
F1 0.1025 0.2915 0.5000  2 Li 1.91
F2 0.1145 0.8196 0.0000  1 Li 1.89
F3 0.1756 0.0853 0.0000  1 Li 1.89
F4 0.3244 0.5853 0.0000  1 Li 1.89
F5 0.3855 0.3196 0.0000  1 Li 1.89
F6 0.3975 0.7915 0.5000  2 Li 1.91
F7 0.6025 0.2085 0.5000  2 Li 1.91
F8 0.6145 0.6804 0.0000  1 Li 1.89
F9 0.6756 0.4147 0.0000  1 Li 1.89
F10 0.8244 0.9147 0.0000  1 Li 1.89
F11 0.8855 0.1804 0.0000  1 Li 1.89
F12 0.8975 0.7085 0.5000  2 Li 1.91

Among the records above, which one has the lowest formation energy (no corrections)?
LaZnAg2F8

Among the records above, which one has the highest formation energy (no corrections)?
LaZrAg2F